(1)
A plane-wave DFT calculation with PBE was carried out for a relaxed EuUNi4 crystal.

abc: 7.1623 7.1623 7.1623
angles: 90.00 90.00 90.00
Last column: nearest neighbours and their distance in Å.
Space group F-43m (No. 216)
Inequivalent atoms, fractional coordinates:
Eu1 0.0000 0.0000 0.0000 (multiplicity 4)  12 Ni 2.97, 4 U 3.10
U1 0.2500 0.2500 0.2500 (multiplicity 4)  12 Ni 2.97, 4 Eu 3.10
Ni1 0.1239 0.1239 0.6239 (multiplicity 16)  6 Ni 2.51-2.55

Output
- formation energy from the elements (eV per formula unit) = -0.782
- magnetic moment (μB per cell) = 35.5
- electronic total energy (eV/atom) = -7.578

***

(2)
A plane-wave DFT calculation with PBE was carried out for a relaxed EuYNi4 crystal.

abc: 7.2360 7.2360 7.2360
angles: 90.00 90.00 90.00
Last column: nearest neighbours and their distance in Å.
Space group F-43m (No. 216)
Inequivalent atoms, fractional coordinates:
Eu1 0.0000 0.0000 0.0000 (multiplicity 4)  12 Ni 3.00, 4 Y 3.13
Y1 0.2500 0.2500 0.2500 (multiplicity 4)  12 Ni 3.00, 4 Eu 3.13
Ni1 0.1249 0.1249 0.6249 (multiplicity 16)  6 Ni 2.56

Output
- formation energy from the elements (eV per formula unit) = -1.757
- magnetic moment (μB per cell) = 26.5
- electronic total energy (eV/atom) = -6.937